! GGA-PBEsol Ca4C3, relaxed; values from VASP
&SYSTEM
  ibrav = 0, nat = 7, ntyp = 2
/
ATOMIC_SPECIES
Ca 40.08 Ca.upf
C 12.01 C.upf
CELL_PARAMETERS angstrom
5.172 0.000 0.000
0.000 5.172 0.000
0.000 0.000 5.172
ATOMIC_POSITIONS angstrom
Ca 0.000 0.000 0.000
Ca 0.000 2.586 2.586
Ca 2.586 0.000 2.586
Ca 2.586 2.586 0.000
C 0.000 0.000 2.586
C 0.000 2.586 0.000
C 2.586 0.000 0.000
! - uncorrected energy (eV per atom) = -4.526
! - total moment (μB per atom) = 0.43
! - energy of formation from the pure elements (eV/atom) = 0.826